Material: NbAsPtAu2
Method: DFT, GGA-PBE
State: optimized geometry

Structure (CIF):
```
data_NbAsPtAu2
_chemical_formula_sum 'Nb1 As1 Pt1 Au2'
_symmetry_space_group_name_H-M 'P 4/m m m'
_symmetry_Int_Tables_number 123
_symmetry_space_group_name_Hall '-P 4 2'
_cell_length_a 4.8383
_cell_length_b 4.8383
_cell_length_c 4.6566
_cell_angle_alpha 90.00
_cell_angle_beta 90.00
_cell_angle_gamma 90.00
loop_
_atom_site_label
_atom_site_type_symbol
_atom_site_fract_x
_atom_site_fract_y
_atom_site_fract_z
Nb1 Nb 0.0000 0.0000 0.0000
As1 As 0.5000 0.5000 0.5000
Pt1 Pt 0.5000 0.5000 0.0000
Au1 Au 0.0000 0.5000 0.5000
```

***

Material: NbReAsAu2
Method: DFT, GGA-PBE
State: optimized geometry

Structure (CIF):
```
data_NbReAsAu2
_chemical_formula_sum 'Nb1 Re1 As1 Au2'
_symmetry_space_group_name_H-M 'P 4/m m m'
_symmetry_Int_Tables_number 123
_symmetry_space_group_name_Hall '-P 4 2'
_cell_length_a 5.1395
_cell_length_b 5.1395
_cell_length_c 4.8634
_cell_angle_alpha 90.00
_cell_angle_beta 90.00
_cell_angle_gamma 90.00
loop_
_atom_site_label
_atom_site_type_symbol
_atom_site_fract_x
_atom_site_fract_y
_atom_site_fract_z
Nb1 Nb 0.0000 0.0000 0.0000
Re1 Re 0.5000 0.5000 0.5000
As1 As 0.0000 0.0000 0.5000
Au1 Au 0.0000 0.5000 0.0000
```

Relative energy among the computed polymorphs, meV/atom: 449

***

Material: NbReAsAu2
Method: DFT, GGA-PBE
State: optimized geometry

Structure (CIF):
```
data_NbReAsAu2
_chemical_formula_sum 'Nb1 Re1 As1 Au2'
_symmetry_space_group_name_H-M 'P 4/m m m'
_symmetry_Int_Tables_number 123
_symmetry_space_group_name_Hall '-P 4 2'
_cell_length_a 5.0900
_cell_length_b 5.0900
_cell_length_c 4.5864
_cell_angle_alpha 90.00
_cell_angle_beta 90.00
_cell_angle_gamma 90.00
loop_
_atom_site_label
_atom_site_type_symbol
_atom_site_fract_x
_atom_site_fract_y
_atom_site_fract_z
Nb1 Nb 0.0000 0.0000 0.0000
Re1 Re 0.5000 0.5000 0.5000
As1 As 0.5000 0.5000 0.0000
Au1 Au 0.0000 0.5000 0.5000
```

Relative energy among the computed polymorphs, meV/atom: 0

***

Material: Nb2AsRuAu
Method: DFT, GGA-PBE
State: optimized geometry

Structure (CIF):
```
data_Nb2AsRuAu
_chemical_formula_sum 'Nb2 As1 Ru1 Au1'
_symmetry_space_group_name_H-M 'P 4/m m m'
_symmetry_Int_Tables_number 123
_symmetry_space_group_name_Hall '-P 4 2'
_cell_length_a 4.9865
_cell_length_b 4.9865
_cell_length_c 4.6961
_cell_angle_alpha 90.00
_cell_angle_beta 90.00
_cell_angle_gamma 90.00
loop_
_atom_site_label
_atom_site_type_symbol
_atom_site_fract_x
_atom_site_fract_y
_atom_site_fract_z
Nb1 Nb 0.0000 0.5000 0.0000
As1 As 0.0000 0.0000 0.5000
Ru1 Ru 0.5000 0.5000 0.5000
Au1 Au 0.0000 0.0000 0.0000
```

***

Material: ZrNb2AsAu
Method: DFT, GGA-PBE
State: optimized geometry

Structure (CIF):
```
data_ZrNb2AsAu
_chemical_formula_sum 'Zr1 Nb2 As1 Au1'
_symmetry_space_group_name_H-M 'P 4/m m m'
_symmetry_Int_Tables_number 123
_symmetry_space_group_name_Hall '-P 4 2'
_cell_length_a 4.7938
_cell_length_b 4.7938
_cell_length_c 4.7503
_cell_angle_alpha 90.00
_cell_angle_beta 90.00
_cell_angle_gamma 90.00
loop_
_atom_site_label
_atom_site_type_symbol
_atom_site_fract_x
_atom_site_fract_y
_atom_site_fract_z
Zr1 Zr 0.0000 0.0000 0.0000
Nb1 Nb 0.0000 0.5000 0.5000
As1 As 0.5000 0.5000 0.5000
Au1 Au 0.5000 0.5000 0.0000
```

***

Material: NdAsAu
Method: DFT, GGA-PBE
State: optimized geometry

Structure (CIF):
```
data_NdAsAu
_chemical_formula_sum 'Nd2 As2 Au2'
_symmetry_space_group_name_H-M 'I 4 m m'
_symmetry_Int_Tables_number 107
_symmetry_space_group_name_Hall 'I 4 -2'
_cell_length_a 4.0572
_cell_length_b 4.0572
_cell_length_c 8.8291
_cell_angle_alpha 90.00
_cell_angle_beta 90.00
_cell_angle_gamma 90.00
loop_
_atom_site_label
_atom_site_type_symbol
_atom_site_fract_x
_atom_site_fract_y
_atom_site_fract_z
Nd1 Nd 0.0000 0.0000 0.0000
As1 As 0.0000 0.0000 0.3569
Au1 Au 0.0000 0.0000 0.6644
```

***

Material: NdAsAu
Method: DFT, GGA-PBE
State: optimized geometry

Structure (CIF):
```
data_NdAsAu
_chemical_formula_sum 'Nd1 As1 Au1'
_symmetry_space_group_name_H-M 'P 3 m 1'
_symmetry_Int_Tables_number 156
_cell_length_a 4.4102
_cell_length_b 4.4102
_cell_length_c 4.1426
_cell_angle_alpha 90.00
_cell_angle_beta 90.00
_cell_angle_gamma 120.00
loop_
_symmetry_equiv_pos_as_xyz
'x,y,z'
'-y,x-y,z'
'-x+y,-x,z'
'-y,-x,z'
'-x+y,y,z'
'x,x-y,z'
loop_
_atom_site_label
_atom_site_type_symbol
_atom_site_fract_x
_atom_site_fract_y
_atom_site_fract_z
Nd1 Nd 0.0000 0.0000 0.0000
As1 As 0.6667 0.3333 0.4621
Au1 Au 0.3333 0.6667 0.5465
```

***

Material: NdAs3Au3
Method: DFT, GGA-PBE
State: optimized geometry

Structure (CIF):
```
data_NdAs3Au3
_chemical_formula_sum 'Nd2 As6 Au6'
_symmetry_space_group_name_H-M 'P m -3 n'
_symmetry_Int_Tables_number 223
_symmetry_space_group_name_Hall '-P 4n 2 3'
_cell_length_a 7.1124
_cell_length_b 7.1124
_cell_length_c 7.1124
_cell_angle_alpha 90.00
_cell_angle_beta 90.00
_cell_angle_gamma 90.00
loop_
_atom_site_label
_atom_site_type_symbol
_atom_site_fract_x
_atom_site_fract_y
_atom_site_fract_z
Nd1 Nd 0.0000 0.0000 0.0000
As1 As 0.0000 0.2500 0.5000
Au1 Au 0.0000 0.5000 0.2500
```

***

Number 1: total magnetization 0.615 μB/atom, ΔH_f (0 K) 724 meV/atom, V 21.80 Å³/atom. Number 2: total magnetization 1.003 μB/atom, ΔH_f (0 K) 1635 meV/atom, V 25.69 Å³/atom. Number 3: total magnetization 0.593 μB/atom, ΔH_f (0 K) 1187 meV/atom, V 23.76 Å³/atom. Number 4: total magnetization 0.000 μB/atom, ΔH_f (0 K) 1857 meV/atom, V 23.35 Å³/atom. Number 5: total magnetization 0.000 μB/atom, ΔH_f (0 K) 436 meV/atom, V 21.83 Å³/atom. Number 6: total magnetization 0.000 μB/atom, ΔH_f (0 K) -687 meV/atom, V 24.22 Å³/atom. Number 7: total magnetization 0.000 μB/atom, ΔH_f (0 K) -910 meV/atom, V 23.26 Å³/atom. Number 8: total magnetization 0.000 μB/atom, ΔH_f (0 K) -32 meV/atom, V 25.70 Å³/atom.